1.
{
  "formula": "Dy3Zr5H12",
  "functional": "PBE-GGA",
  "state": "relaxed",
  "cell": [[-6.184, 6.184, 6.184], [6.184, -6.184, 6.184], [6.184, 6.184, -6.184]],
  "species": ["Dy", "Dy", "Dy", "Dy", "Dy", "Dy", "Dy", "Dy", "Dy", "Dy", "Dy", "Dy", "Zr", "Zr", "Zr", "Zr", "Zr", "Zr", "Zr", "Zr", "Zr", "Zr", "Zr", "Zr", "Zr", "Zr", "Zr", "Zr", "Zr", "Zr", "Zr", "Zr", "H", "H", "H", "H", "H", "H", "H", "H", "H", "H", "H", "H", "H", "H", "H", "H", "H", "H", "H", "H", "H", "H", "H", "H", "H", "H", "H", "H", "H", "H", "H", "H", "H", "H", "H", "H", "H", "H", "H", "H", "H", "H", "H", "H", "H", "H", "H", "H"],
  "fractional_positions": [[0.125, 0.250, 0.375], [0.125, 0.375, 0.750], [0.250, 0.375, 0.125], [0.250, 0.875, 0.625], [0.375, 0.125, 0.250], [0.375, 0.750, 0.125], [0.625, 0.250, 0.875], [0.625, 0.875, 0.750], [0.750, 0.125, 0.375], [0.750, 0.625, 0.875], [0.875, 0.625, 0.250], [0.875, 0.750, 0.625], [0.000, 0.000, 0.000], [0.000, 0.000, 0.500], [0.000, 0.500, 0.000], [0.000, 0.500, 0.500], [0.125, 0.750, 0.875], [0.125, 0.875, 0.250], [0.250, 0.125, 0.875], [0.250, 0.625, 0.375], [0.375, 0.250, 0.625], [0.375, 0.625, 0.750], [0.500, 0.000, 0.000], [0.500, 0.000, 0.500], [0.500, 0.500, 0.000], [0.500, 0.500, 0.500], [0.625, 0.375, 0.250], [0.625, 0.750, 0.375], [0.750, 0.375, 0.625], [0.750, 0.875, 0.125], [0.875, 0.125, 0.750], [0.875, 0.250, 0.125], [0.057, 0.218, 0.143], [0.057, 0.339, 0.914], [0.076, 0.718, 0.661], [0.076, 0.857, 0.414], [0.086, 0.643, 0.424], [0.086, 0.943, 0.661], [0.143, 0.057, 0.218], [0.143, 0.586, 0.924], [0.161, 0.218, 0.576], [0.161, 0.443, 0.586], [0.218, 0.143, 0.057], [0.218, 0.576, 0.161], [0.282, 0.339, 0.924], [0.282, 0.443, 0.357], [0.339, 0.914, 0.057], [0.339, 0.924, 0.282], [0.357, 0.282, 0.443], [0.357, 0.576, 0.914], [0.414, 0.076, 0.857], [0.414, 0.839, 0.557], [0.424, 0.086, 0.643], [0.424, 0.839, 0.782], [0.443, 0.357, 0.282], [0.443, 0.586, 0.161], [0.557, 0.414, 0.839], [0.557, 0.643, 0.718], [0.576, 0.161, 0.218], [0.576, 0.914, 0.357], [0.586, 0.161, 0.443], [0.586, 0.924, 0.143], [0.643, 0.424, 0.086], [0.643, 0.718, 0.557], [0.661, 0.076, 0.718], [0.661, 0.086, 0.943], [0.718, 0.557, 0.643], [0.718, 0.661, 0.076], [0.782, 0.424, 0.839], [0.782, 0.857, 0.943], [0.839, 0.557, 0.414], [0.839, 0.782, 0.424], [0.857, 0.414, 0.076], [0.857, 0.943, 0.782], [0.914, 0.057, 0.339], [0.914, 0.357, 0.576], [0.924, 0.143, 0.586], [0.924, 0.282, 0.339], [0.943, 0.661, 0.086], [0.943, 0.782, 0.857]],
  "dft_energy_ev_per_atom": -5.308,
  "m_tot_mub_per_atom": 0.00,
  "density_g_cm3": 6.71
}


2.
{
  "formula": "DyZrH",
  "functional": "PBE-GGA",
  "state": "relaxed",
  "cell": [[11.150, 0.000, 0.000], [0.000, 3.334, 0.000], [-0.953, 0.000, 5.802]],
  "species": ["Dy", "Dy", "Dy", "Dy", "Zr", "Zr", "Zr", "Zr", "H", "H", "H", "H"],
  "fractional_positions": [[0.120, 0.000, 0.371], [0.380, 0.500, 0.629], [0.620, 0.500, 0.371], [0.880, 0.000, 0.629], [0.126, 0.500, 0.881], [0.374, 0.000, 0.119], [0.626, 0.000, 0.881], [0.874, 0.500, 0.119], [0.244, 0.000, 0.786], [0.256, 0.500, 0.214], [0.744, 0.500, 0.786], [0.756, 0.000, 0.214]],
  "m_tot_mub_per_atom": 0.00,
  "density_g_cm3": 7.84,
  "e_above_lowest_polymorph_mev_per_atom": 0
}


3.
{
  "formula": "DyZrH4",
  "functional": "PBE-GGA",
  "state": "relaxed",
  "cell": [[3.481, 0.000, 0.000], [0.000, 3.481, 0.000], [0.000, 0.000, 5.081]],
  "species": ["Dy", "Zr", "H", "H", "H", "H"],
  "fractional_positions": [[0.000, 0.000, 0.000], [0.500, 0.500, 0.500], [0.000, 0.500, 0.271], [0.000, 0.500, 0.729], [0.500, 0.000, 0.271], [0.500, 0.000, 0.729]],
  "dft_energy_ev_per_atom": -5.060,
  "m_tot_mub_per_atom": 0.00,
  "density_g_cm3": 6.95
}


4.
{
  "formula": "DyHf5",
  "functional": "PBE-GGA",
  "state": "relaxed",
  "cell": [[4.549, 0.000, 0.000], [0.000, 13.652, 0.000], [0.000, 0.000, 4.529]],
  "species": ["Dy", "Dy", "Hf", "Hf", "Hf", "Hf", "Hf", "Hf", "Hf", "Hf", "Hf", "Hf"],
  "fractional_positions": [[0.000, 0.000, 0.000], [0.500, 0.500, 0.000], [0.000, 0.171, 0.500], [0.000, 0.329, 0.000], [0.000, 0.500, 0.500], [0.000, 0.671, 0.000], [0.000, 0.829, 0.500], [0.500, 0.000, 0.500], [0.500, 0.171, 0.000], [0.500, 0.329, 0.500], [0.500, 0.671, 0.500], [0.500, 0.829, 0.000]],
  "formation_enthalpy_0k_ev_per_atom": 0.141,
  "m_tot_mub_per_atom": 0.00,
  "density_g_cm3": 12.45
}


5.
{
  "formula": "DyHf2",
  "functional": "PBE-GGA",
  "state": "relaxed",
  "cell": [[0.000, 4.284, 4.284], [4.284, 0.000, 4.284], [4.284, 4.284, 0.000]],
  "species": ["Dy", "Dy", "Hf", "Hf", "Hf", "Hf"],
  "fractional_positions": [[0.125, 0.125, 0.125], [0.875, 0.875, 0.875], [0.000, 0.500, 0.500], [0.500, 0.000, 0.500], [0.500, 0.500, 0.000], [0.500, 0.500, 0.500]],
  "formation_enthalpy_0k_ev_per_atom": 0.327,
  "m_tot_mub_per_atom": 0.81,
  "density_g_cm3": 10.97,
  "e_above_lowest_polymorph_mev_per_atom": 207
}


6.
{
  "formula": "DyHf2",
  "functional": "PBE-GGA",
  "state": "relaxed",
  "cell": [[3.182, 0.000, 0.000], [0.000, 3.182, 0.000], [0.000, 0.000, 14.923]],
  "species": ["Dy", "Dy", "Hf", "Hf", "Hf", "Hf"],
  "fractional_positions": [[0.000, 0.000, 0.000], [0.500, 0.500, 0.500], [0.000, 0.000, 0.320], [0.000, 0.000, 0.680], [0.500, 0.500, 0.180], [0.500, 0.500, 0.820]],
  "formation_enthalpy_0k_ev_per_atom": 0.119,
  "m_tot_mub_per_atom": 0.00,
  "density_g_cm3": 11.42,
  "e_above_lowest_polymorph_mev_per_atom": 0
}